## TbPrCBr (PBE-GGA)

Data for a relaxed TbPrCBr crystal.

a b c (Å): 3.7561 3.7561 22.1842
angles (deg): 90.00 90.00 120.00
Space group R3m (No. 160, hexagonal axes)
Symmetry-distinct sites (fractional):
Tb 0.0000 0.0000 0.0000 x3
Pr 0.0000 0.0000 0.2120 x3
C 0.0000 0.0000 0.6119 x3
Br 0.0000 0.0000 0.4336 x3

Calculated total energy: -71.776 eV per cell
D(E_F): 6.7 states/eV/cell